5
Lattice="-0.967 1.164 -4.324 -4.201 -1.767 0.464 -1.550 4.063 1.441" Properties=species:S:1:pos:R:3 comment="GaCu3H (PBE, relaxed)" final_energy_ev_per_atom=-2.60 volume_a3_per_fu=96.1 pbc="T T T"
H -3.359 1.730 -1.209
Cu -2.101 -0.884 0.232
Cu -0.775 2.032 0.720
Cu -0.484 0.582 -2.162
Ga 0.000 0.000 0.000